Entry 1:
This record from the Alexandria database describes a relaxed structure of CaSnPbCl6. The functional is GGA-PBE.

Computed properties:
The space group is P4_2nm (102).

a = 6.6574 Å, b = 6.6574 Å, c = 13.0094 Å
α = 90.00°, β = 90.00°, γ = 90.00°
Positions (direct):
Ca1 0.0000 0.0000 0.0000
Ca2 0.5000 0.5000 0.5000
Sn1 0.0000 0.0000 0.6665
Sn2 0.5000 0.5000 0.1665
Pb1 0.0000 0.0000 0.3331
Pb2 0.5000 0.5000 0.8331
Cl1 0.1902 0.1902 0.8376
Cl2 0.1950 0.1950 0.1596
Cl3 0.2052 0.2052 0.5020
Cl4 0.2948 0.7052 0.0020
Cl5 0.3050 0.6950 0.6596
Cl6 0.3098 0.6902 0.3376
Cl7 0.6902 0.3098 0.3376
Cl8 0.6950 0.3050 0.6596
Cl9 0.7052 0.2948 0.0020
Cl10 0.7948 0.7948 0.5020
Cl11 0.8050 0.8050 0.1596
Cl12 0.8098 0.8098 0.8376

***

Entry 2:
This record from the Alexandria database describes a relaxed structure of CaSn2PbCl8. The functional is GGA-PBE.

Computed properties:
The space group is P-1 (2).

a = 6.4711 Å, b = 6.7656 Å, c = 8.7600 Å
α = 89.62°, β = 89.87°, γ = 89.41°
Positions (direct):
Ca1 0.0000 0.0000 0.0000
Sn1 0.4971 0.4907 0.7550
Sn2 0.5029 0.5093 0.2450
Pb1 0.0000 0.0000 0.5000
Cl1 0.2046 0.8136 0.7619
Cl2 0.2411 0.8555 0.2388
Cl3 0.2663 0.3209 0.9737
Cl4 0.2747 0.3354 0.5275
Cl5 0.7253 0.6646 0.4725
Cl6 0.7337 0.6791 0.0263
Cl7 0.7589 0.1445 0.7612
Cl8 0.7954 0.1864 0.2381

***

Entry 3:
This record from the Alexandria database describes a relaxed structure of SrCaPbCl6. The functional is GGA-PBE.

Computed properties:
The space group is P4_2nm (102).

a = 6.6724 Å, b = 6.6724 Å, c = 13.1722 Å
α = 90.00°, β = 90.00°, γ = 90.00°
Positions (direct):
Sr1 0.0000 0.0000 0.0000
Sr2 0.5000 0.5000 0.5000
Ca1 0.0000 0.0000 0.6658
Ca2 0.5000 0.5000 0.1658
Pb1 0.0000 0.0000 0.3323
Pb2 0.5000 0.5000 0.8323
Cl1 0.1915 0.1915 0.5071
Cl2 0.1908 0.1908 0.8256
Cl3 0.2048 0.2048 0.1657
Cl4 0.2952 0.7048 0.6657
Cl5 0.3085 0.6915 0.0071
Cl6 0.3092 0.6908 0.3256
Cl7 0.6915 0.3085 0.0071
Cl8 0.6908 0.3092 0.3256
Cl9 0.7048 0.2952 0.6657
Cl10 0.7952 0.7952 0.1657
Cl11 0.8085 0.8085 0.5071
Cl12 0.8092 0.8092 0.8256

***

Entry 4:
This record from the Alexandria database describes a relaxed structure of SrCaPb2Cl8. The functional is GGA-PBE.

Computed properties:
The space group is P2/m (10).

a = 6.5739 Å, b = 8.8053 Å, c = 6.7582 Å
α = 90.00°, β = 90.36°, γ = 90.00°
Positions (direct):
Sr1 0.0000 0.0000 0.0000
Ca1 0.0000 0.5000 0.0000
Pb1 0.5000 0.2555 0.5000
Pb2 0.5000 0.7445 0.5000
Cl1 0.2205 0.2611 0.1614
Cl2 0.2205 0.7389 0.1614
Cl3 0.2628 0.5000 0.6778
Cl4 0.2732 0.0000 0.6634
Cl5 0.7268 0.0000 0.3366
Cl6 0.7372 0.5000 0.3222
Cl7 0.7795 0.2611 0.8386
Cl8 0.7795 0.7389 0.8386

***

Entry 5:
This record from the Alexandria database describes a relaxed structure of SrCaPbCl2. The functional is GGA-PBE.

Computed properties:
The space group is P4/mmm (123).

a = 5.7878 Å, b = 5.7878 Å, c = 6.3737 Å
α = 90.00°, β = 90.00°, γ = 90.00°
Positions (direct):
Sr1 0.0000 0.0000 0.0000
Ca1 0.5000 0.5000 0.0000
Pb1 0.5000 0.5000 0.5000
Cl1 0.0000 0.5000 0.5000
Cl2 0.5000 0.0000 0.5000

***

Entry 6:
This record from the Alexandria database describes a relaxed structure of CaTcPb2Cl. The functional is GGA-PBE.

Computed properties:
The space group is P4/mmm (123).

a = 5.6989 Å, b = 5.6989 Å, c = 4.3462 Å
α = 90.00°, β = 90.00°, γ = 90.00°
Positions (direct):
Ca1 0.0000 0.0000 0.0000
Tc1 0.5000 0.5000 0.0000
Pb1 0.0000 0.5000 0.5000
Pb2 0.5000 0.0000 0.5000
Cl1 0.5000 0.5000 0.5000

***

Summary of raw total energy in eV per atom
-3.821, -3.755, -4.056, -3.944, -2.752, -3.898
(order as listed above)
Summary of M_tot in μB per atom
0.00, 0.00, 0.00, 0.00, 0.00, 0.00
(order as listed above)
Summary of calculated volume in A^3/atom
32.0, 32.0, 32.6, 32.6, 42.7, 28.2
(order as listed above)